No. 1
DFT (PBE-GGA) results for a relaxed structure of AcAsSe3.

Summary:
ΔE_f (raw): -1084 meV per atom
Total DFT energy (no corrections): -24.6 eV per formula unit
Energy above the lowest structure with this stoichiometry: 0.0 meV/atom
Total magnetization: 0.00 μB/cell

Geometry as POSCAR:
```
AcAsSe3
1.0
6.978 0.000 0.000
0.000 7.965 0.000
0.000 0.000 10.246
Ac As Se
4 4 12
direct
0.043 0.110 0.722
0.457 0.610 0.722
0.543 0.390 0.222
0.957 0.890 0.222
0.463 0.955 0.005
0.537 0.045 0.505
0.037 0.455 0.005
0.963 0.545 0.505
0.830 0.181 0.424
0.839 0.195 0.029
0.170 0.819 0.924
0.161 0.805 0.529
0.339 0.305 0.529
0.623 0.979 0.731
0.661 0.695 0.029
0.877 0.479 0.731
0.670 0.681 0.424
0.330 0.319 0.924
0.123 0.521 0.231
0.377 0.021 0.231
```

No. 2
DFT (PBE-GGA) results for a relaxed structure of Ac4SiAs2Se.

Summary:
ΔE_f (raw): -1370 meV per atom
Total DFT energy (no corrections): -45.6 eV per formula unit
DOS at the Fermi energy: 1.2 states/eV/f.u.
Total magnetization: 0.00 μB/cell

Geometry as POSCAR:
```
Ac4SiAs2Se
1.0
4.537 0.000 0.000
0.000 7.878 -0.165
0.000 2.764 7.375
Ac Si As Se
4 1 2 1
direct
0.000 0.754 0.742
0.000 0.246 0.258
0.500 0.750 0.254
0.500 0.250 0.746
0.000 0.500 0.500
0.000 0.000 0.000
0.500 0.000 0.500
0.500 0.500 0.000
```

No. 3
DFT (PBE-GGA) results for a relaxed structure of Ac6SiAs2Se3.

Summary:
ΔE_f (raw): -1590 meV per atom
Total DFT energy (no corrections): -68.9 eV per formula unit
DOS at the Fermi energy: 3.6 states/eV/f.u.
Total magnetization: 0.00 μB/cell

Geometry as POSCAR:
```
Ac6SiAs2Se3
1.0
4.532 0.000 0.000
0.000 9.041 0.328
-2.266 -2.603 9.523
Ac Si As Se
6 1 2 3
direct
0.338 0.914 0.675
0.668 0.578 0.336
0.662 0.086 0.325
0.002 0.241 0.003
0.998 0.759 0.997
0.332 0.422 0.664
0.500 0.000 0.000
0.832 0.665 0.664
0.168 0.335 0.336
0.500 0.500 0.000
0.832 0.168 0.664
0.168 0.832 0.336
```

No. 4
DFT (PBE-GGA) results for a relaxed structure of Ac6Si2AsSe3.

Summary:
ΔE_f (raw): -1432 meV per atom
Total DFT energy (no corrections): -67.8 eV per formula unit
DOS at the Fermi energy: 2.7 states/eV/f.u.
Total magnetization: 0.00 μB/cell

Geometry as POSCAR:
```
Ac6Si2AsSe3
1.0
4.548 0.000 0.000
0.000 9.078 0.340
-2.274 -2.604 9.547
Ac Si As Se
6 2 1 3
direct
0.335 0.907 0.669
0.670 0.576 0.340
0.665 0.093 0.331
0.004 0.246 0.008
0.996 0.754 0.992
0.330 0.424 0.660
0.834 0.669 0.668
0.166 0.331 0.332
0.500 0.000 0.000
0.500 0.500 0.000
0.835 0.166 0.669
0.165 0.834 0.331
```

No. 5
DFT (PBE-GGA) results for a relaxed structure of Ac6SnAs2Se3.

Summary:
ΔE_f (raw): -1578 meV per atom
Total DFT energy (no corrections): -67.3 eV per formula unit
DOS at the Fermi energy: 4.0 states/eV/f.u.
Total magnetization: 0.00 μB/cell

Geometry as POSCAR:
```
Ac6SnAs2Se3
1.0
-3.071 -3.201 1.170
5.437 -2.741 6.771
-4.067 8.570 3.770
Ac Sn As Se
6 1 2 3
direct
0.332 0.909 0.664
0.669 0.578 0.338
0.668 0.091 0.336
0.003 0.255 0.005
0.997 0.745 0.995
0.331 0.422 0.662
0.500 0.000 0.000
0.832 0.664 0.663
0.168 0.336 0.337
0.500 0.500 0.000
0.834 0.169 0.667
0.166 0.831 0.333
```

No. 6
DFT (PBE-GGA) results for a relaxed structure of AcSnAsSe.

Summary:
ΔE_f (raw): -952 meV per atom
Total DFT energy (no corrections): -20.1 eV per formula unit
DOS at the Fermi energy: 1.3 states/eV/f.u.
Total magnetization: 0.00 μB/cell

Geometry as POSCAR:
```
AcSnAsSe
1.0
-2.766 1.457 4.457
2.989 -3.439 2.980
5.504 6.034 1.443
Ac Sn As Se
2 2 2 2
direct
0.500 0.000 0.674
0.000 0.500 0.326
0.500 0.500 0.000
0.000 0.000 0.000
0.000 0.500 0.904
0.500 0.000 0.096
0.000 0.000 0.500
0.500 0.500 0.500
```

No. 7
DFT (PBE-GGA) results for a relaxed structure of SrAcAsSe.

Summary:
ΔE_f (raw): -1727 meV per atom
Total DFT energy (no corrections): -20.8 eV per formula unit
Total magnetization: 0.00 μB/cell

Geometry as POSCAR:
```
SrAcAsSe
1.0
-3.805 1.976 1.459
-4.023 -1.841 -0.970
-2.291 -3.915 6.358
Sr Ac As Se
1 1 1 1
direct
0.503 0.503 0.492
0.995 0.995 0.014
0.252 0.252 0.243
0.749 0.749 0.752
```

No. 8
DFT (PBE-GGA) results for a relaxed structure of Ac2TbAs2Se2.

Summary:
ΔE_f (raw): -1341 meV per atom
Total DFT energy (no corrections): -38.5 eV per formula unit
DOS at the Fermi energy: 3.5 states/eV/f.u.
Total magnetization: 0.00 μB/cell

Geometry as POSCAR:
```
Ac2TbAs2Se2
1.0
5.305 0.000 0.000
0.000 5.305 0.000
-2.653 -2.653 7.954
Ac Tb As Se
2 1 2 2
direct
0.370 0.370 0.739
0.630 0.630 0.261
0.000 0.000 0.000
0.000 0.500 0.000
0.500 0.000 0.000
0.181 0.181 0.362
0.819 0.819 0.638
```